Material: KTcPt
Method: DFT, PBE
State: optimized geometry

```
KTcPt
1.0
-3.991 -7.377 -8.972
-3.738 -1.697 3.058
-2.757 3.338 -1.518
K Pt Tc
4 4 4
direct
0.727 0.250 0.001
0.273 0.750 0.999
0.773 0.750 0.501
0.227 0.250 0.499
0.030 0.750 0.500
0.970 0.250 0.500
0.470 0.250 0.000
0.530 0.750 0.000
0.500 0.000 0.500
0.000 0.000 0.000
0.500 0.500 0.500
0.000 0.500 0.000
```

Values from the calculation:
- Total magnetic moment: 0.58 μB/f.u.
- VASP energy: -5.479 eV per atom
- ΔH_f (0 K): 0.356 eV/atom